No. 1
{"formula": "ScRh2Pb", "functional": "PBE-GGA", "state": "optimized geometry", "cell": [[-3.086, 1.197, 0.574], [-0.453, -2.331, 2.424], [1.883, 1.645, 6.685]], "species": ["Pb", "Rh", "Rh", "Sc"], "frac_coords": [[0.500, 0.750, 0.750], [0.000, 0.990, 0.010], [0.000, 0.510, 0.490], [0.500, 0.250, 0.250]], "m_tot_mub_per_atom": 0.000, "formation_enthalpy_0k_ev_per_fu": -2.04}

No. 2
{"formula": "Tl4CdPd15", "functional": "PBE-GGA", "state": "optimized geometry", "cell": [[4.058, 0.000, 0.000], [0.000, 4.058, 0.000], [0.000, 0.000, 20.510]], "species": ["Tl", "Tl", "Tl", "Tl", "Cd", "Pd", "Pd", "Pd", "Pd", "Pd", "Pd", "Pd", "Pd", "Pd", "Pd", "Pd", "Pd", "Pd", "Pd", "Pd"], "frac_coords": [[0.000, 0.000, 0.198], [0.000, 0.000, 0.399], [0.000, 0.000, 0.601], [0.000, 0.000, 0.802], [0.000, 0.000, 0.000], [0.500, 0.500, 0.000], [0.500, 0.500, 0.198], [0.500, 0.500, 0.399], [0.500, 0.500, 0.601], [0.500, 0.500, 0.802], [0.500, 0.000, 0.098], [0.500, 0.000, 0.299], [0.500, 0.000, 0.500], [0.500, 0.000, 0.701], [0.500, 0.000, 0.902], [0.000, 0.500, 0.098], [0.000, 0.500, 0.299], [0.000, 0.500, 0.500], [0.000, 0.500, 0.701], [0.000, 0.500, 0.902]], "m_tot_mub_per_atom": 0.000, "formation_enthalpy_0k_ev_per_fu": -3.77}

No. 3
{"formula": "Ba5NaTl", "functional": "PBE-GGA", "state": "optimized geometry", "cell": [[8.223, 0.741, -0.148], [3.312, 7.563, -0.148], [3.997, 2.877, 13.328]], "species": ["Ba", "Ba", "Ba", "Ba", "Ba", "Ba", "Ba", "Ba", "Ba", "Ba", "Na", "Na", "Tl", "Tl"], "frac_coords": [[0.946, 0.605, 0.143], [0.218, 0.523, 0.535], [0.605, 0.946, 0.643], [0.977, 0.023, 0.250], [0.477, 0.782, 0.965], [0.523, 0.218, 0.035], [0.023, 0.977, 0.750], [0.395, 0.054, 0.357], [0.782, 0.477, 0.465], [0.054, 0.395, 0.857], [0.458, 0.542, 0.250], [0.542, 0.458, 0.750], [0.000, 0.000, 0.000], [0.000, 0.000, 0.500]], "m_tot_mub_per_atom": 0.050, "formation_enthalpy_0k_ev_per_fu": -0.07}

No. 4
{"formula": "RbTaI2N", "functional": "PBE-GGA", "state": "optimized geometry", "cell": [[-1.743, 0.668, -5.725], [4.829, -3.095, -1.831], [-2.089, -3.401, 0.239]], "species": ["I", "I", "N", "Rb", "Ta"], "frac_coords": [[0.000, 0.500, 0.000], [0.500, 0.000, 0.000], [0.000, 0.000, 0.500], [0.500, 0.500, 0.500], [0.000, 0.000, 0.000]], "m_tot_mub_per_atom": 0.194, "raw_formation_energy_ev_per_atom": -0.423}

No. 5
{"formula": "Pr9O16", "functional": "PBE-GGA", "state": "optimized geometry", "cell": [[6.808, -0.053, 0.071], [0.984, 6.985, 0.027], [1.513, 2.353, 8.742]], "species": ["Pr", "Pr", "Pr", "Pr", "Pr", "Pr", "Pr", "Pr", "Pr", "O", "O", "O", "O", "O", "O", "O", "O", "O", "O", "O", "O", "O", "O", "O", "O"], "frac_coords": [[0.673, 0.304, 0.670], [0.327, 0.696, 0.330], [0.407, 0.241, 0.102], [0.231, 0.125, 0.528], [0.000, 0.000, 0.000], [0.112, 0.520, 0.774], [0.888, 0.480, 0.226], [0.593, 0.759, 0.898], [0.769, 0.875, 0.472], [0.068, 0.295, 0.047], [0.781, 0.610, 0.702], [0.529, 0.002, 0.664], [0.644, 0.579, 0.432], [0.932, 0.705, 0.953], [0.120, 0.805, 0.549], [0.356, 0.421, 0.568], [0.976, 0.786, 0.256], [0.663, 0.082, 0.942], [0.219, 0.390, 0.298], [0.024, 0.214, 0.744], [0.433, 0.491, 0.855], [0.471, 0.998, 0.336], [0.567, 0.509, 0.145], [0.880, 0.195, 0.451], [0.337, 0.918, 0.058]], "m_tot_mub_per_atom": 0.206, "raw_formation_energy_ev_per_atom": -2.867}

No. 6
{"formula": "CePaTc", "functional": "PBE-GGA", "state": "optimized geometry", "cell": [[-1.063, 0.730, -3.405], [-5.899, -7.247, 0.288], [-6.560, 3.946, 2.894]], "species": ["Ce", "Ce", "Ce", "Ce", "Pa", "Pa", "Pa", "Pa", "Tc", "Tc", "Tc", "Tc"], "frac_coords": [[0.500, 0.834, 0.093], [0.500, 0.166, 0.907], [0.000, 0.071, 0.275], [0.000, 0.929, 0.725], [0.500, 0.432, 0.223], [0.000, 0.667, 0.408], [0.000, 0.333, 0.592], [0.500, 0.568, 0.777], [0.500, 0.837, 0.502], [0.000, 0.349, 0.003], [0.000, 0.651, 0.997], [0.500, 0.163, 0.498]], "m_tot_mub_per_atom": 0.000, "formation_enthalpy_0k_ev_per_fu": -0.35}

No. 7
{"formula": "InTc2Os", "functional": "PBE-GGA", "state": "optimized geometry", "cell": [[-4.912, -0.579, 1.760], [-3.456, -2.401, -3.139], [4.603, -0.513, 2.471]], "species": ["In", "Os", "Tc", "Tc"], "frac_coords": [[0.750, 0.250, 0.500], [0.250, 0.750, 0.500], [0.001, 0.001, 0.000], [0.499, 0.499, 0.000]], "m_tot_mub_per_atom": 0.000, "formation_enthalpy_0k_ev_per_fu": 1.63}

No. 8
{"formula": "MgTiBe", "functional": "PBE-GGA", "state": "optimized geometry", "cell": [[-1.488, -1.791, -2.038], [4.985, -1.687, 0.186], [-1.421, -2.475, 5.566]], "species": ["Be", "Be", "Mg", "Mg", "Ti", "Ti"], "frac_coords": [[0.874, 0.323, 0.330], [0.811, 0.491, 0.035], [0.441, 0.166, 0.620], [0.244, 0.649, 0.745], [0.578, 0.746, 0.313], [0.108, 0.068, 0.052]], "m_tot_mub_per_atom": 0.000, "formation_enthalpy_0k_ev_per_fu": 0.36}